Entry P
# Ta2CoO6 PBE+U optimized geometry
# **Symmetry**: P4_2/mnm (136)
# **Calculated volume**: 11.8 A^3/atom
data_Ta2CoO6
_cell_length_a 4.802
_cell_length_b 4.802
_cell_length_c 9.200
_cell_angle_alpha 90.00
_cell_angle_beta 90.00
_cell_angle_gamma 90.00
_symmetry_space_group_name_H-M 'P 1'
_symmetry_Int_Tables_number 1
loop_
_symmetry_equiv_pos_as_xyz
'x,y,z'
loop_
_atom_site_label
_atom_site_type_symbol
_atom_site_fract_x
_atom_site_fract_y
_atom_site_fract_z
Co1 Co 0.000 0.000 0.000
Co2 Co 0.500 0.500 0.500
O1 O 0.705 0.295 0.323
O2 O 0.205 0.205 0.823
O3 O 0.295 0.705 0.677
O4 O 0.811 0.811 0.500
O5 O 0.295 0.705 0.323
O6 O 0.705 0.295 0.677
O7 O 0.795 0.795 0.177
O8 O 0.205 0.205 0.177
O9 O 0.689 0.311 0.000
O10 O 0.189 0.189 0.500
O11 O 0.795 0.795 0.823
O12 O 0.311 0.689 0.000
Ta1 Ta 0.500 0.500 0.169
Ta2 Ta 0.000 0.000 0.669
Ta3 Ta 0.500 0.500 0.831
Ta4 Ta 0.000 0.000 0.331

---

Entry Q
# Ta2CoO6 PBE+U optimized geometry
# **Symmetry**: P321 (150)
# **Calculated volume**: 11.4 A^3/atom
data_Ta2CoO6
_cell_length_a 4.605
_cell_length_b 8.784
_cell_length_c 8.784
_cell_angle_alpha 120.00
_cell_angle_beta 90.00
_cell_angle_gamma 90.00
_symmetry_space_group_name_H-M 'P 1'
_symmetry_Int_Tables_number 1
loop_
_symmetry_equiv_pos_as_xyz
'x,y,z'
loop_
_atom_site_label
_atom_site_type_symbol
_atom_site_fract_x
_atom_site_fract_y
_atom_site_fract_z
Co1 Co 0.000 0.000 0.000
Co2 Co 0.495 0.667 0.333
Co3 Co 0.505 0.333 0.667
Ta1 Ta 0.000 0.000 0.360
Ta2 Ta 0.500 0.000 0.693
Ta3 Ta 0.500 0.307 0.307
Ta4 Ta 0.000 0.640 0.640
Ta5 Ta 0.500 0.693 0.000
Ta6 Ta 0.000 0.360 0.000
O1 O 0.764 0.233 0.113
O2 O 0.739 0.901 0.457
O3 O 0.764 0.887 0.120
O4 O 0.742 0.210 0.430
O5 O 0.258 0.790 0.220
O6 O 0.261 0.099 0.557
O7 O 0.258 0.780 0.570
O8 O 0.236 0.120 0.887
O9 O 0.236 0.767 0.880
O10 O 0.261 0.443 0.543
O11 O 0.258 0.430 0.210
O12 O 0.739 0.543 0.443
O13 O 0.739 0.557 0.099
O14 O 0.261 0.457 0.901
O15 O 0.764 0.880 0.767
O16 O 0.236 0.113 0.233
O17 O 0.742 0.220 0.790
O18 O 0.742 0.570 0.780

---

Top of the stability list: entry P, leading by 1.5 kJ/mol of atoms.

---

Entry P
# CoTc2O2 PBE+U optimized geometry
# **Symmetry**: P4/mbm (127)
# **Calculated volume**: 11.2 A^3/atom
data_CoTc2O2
_cell_length_a 6.562
_cell_length_b 6.562
_cell_length_c 2.590
_cell_angle_alpha 90.00
_cell_angle_beta 90.00
_cell_angle_gamma 90.00
_symmetry_space_group_name_H-M 'P 1'
_symmetry_Int_Tables_number 1
loop_
_symmetry_equiv_pos_as_xyz
'x,y,z'
loop_
_atom_site_label
_atom_site_type_symbol
_atom_site_fract_x
_atom_site_fract_y
_atom_site_fract_z
Tc1 Tc 0.188 0.312 0.000
Tc2 Tc 0.688 0.188 0.000
Tc3 Tc 0.312 0.812 0.000
Tc4 Tc 0.812 0.688 0.000
Co1 Co 0.000 0.000 0.000
Co2 Co 0.500 0.500 0.000
O1 O 0.868 0.368 0.500
O2 O 0.632 0.868 0.500
O3 O 0.368 0.132 0.500
O4 O 0.132 0.632 0.500

---

Entry Q
# CoTc2O2 PBE+U optimized geometry
# **Symmetry**: I4/mmm (139)
# **Calculated volume**: 11.2 A^3/atom
data_CoTc2O2
_cell_length_a 3.265
_cell_length_b 3.265
_cell_length_c 5.744
_cell_angle_alpha 73.49
_cell_angle_beta 73.49
_cell_angle_gamma 90.00
_symmetry_space_group_name_H-M 'P 1'
_symmetry_Int_Tables_number 1
loop_
_symmetry_equiv_pos_as_xyz
'x,y,z'
loop_
_atom_site_label
_atom_site_type_symbol
_atom_site_fract_x
_atom_site_fract_y
_atom_site_fract_z
Co1 Co 0.000 0.000 0.000
Tc1 Tc 0.374 0.374 0.251
Tc2 Tc 0.626 0.626 0.749
O1 O 0.250 0.750 0.500
O2 O 0.750 0.250 0.500

---

Top of the stability list: entry Q, leading by 51.9 kJ/mol of atoms.

---

Entry P
# Co3TeO PBE+U optimized geometry
# **Symmetry**: Pm-3m (221)
# **Calculated volume**: 13.6 A^3/atom
data_Co3TeO
_cell_length_a 4.081
_cell_length_b 4.081
_cell_length_c 4.081
_cell_angle_alpha 90.00
_cell_angle_beta 90.00
_cell_angle_gamma 90.00
_symmetry_space_group_name_H-M 'P 1'
_symmetry_Int_Tables_number 1
loop_
_symmetry_equiv_pos_as_xyz
'x,y,z'
loop_
_atom_site_label
_atom_site_type_symbol
_atom_site_fract_x
_atom_site_fract_y
_atom_site_fract_z
Co1 Co 0.500 0.000 0.000
Co2 Co 0.000 0.500 0.000
Co3 Co 0.000 0.000 0.500
Te1 Te 0.500 0.500 0.500
O1 O 0.000 0.000 0.000

---

Entry Q
# Co3TeO PBE+U optimized geometry
# **Symmetry**: Pm-3m (221)
# **Calculated volume**: 22.0 A^3/atom
data_Co3TeO
_cell_length_a 4.794
_cell_length_b 4.794
_cell_length_c 4.794
_cell_angle_alpha 90.00
_cell_angle_beta 90.00
_cell_angle_gamma 90.00
_symmetry_space_group_name_H-M 'P 1'
_symmetry_Int_Tables_number 1
loop_
_symmetry_equiv_pos_as_xyz
'x,y,z'
loop_
_atom_site_label
_atom_site_type_symbol
_atom_site_fract_x
_atom_site_fract_y
_atom_site_fract_z
Co1 Co 0.000 0.000 0.500
Co2 Co 0.000 0.500 0.000
Co3 Co 0.500 0.000 0.000
O1 O 0.500 0.500 0.500
Te1 Te 0.000 0.000 0.000

---

Top of the stability list: entry P, leading by 113.3 kJ/mol of atoms.

---

Entry P
# Co3TeO6 PBE+U optimized geometry
# **Symmetry**: C2/c (15)
# **Calculated volume**: 11.7 A^3/atom
data_Co3TeO6
_cell_length_a 8.718
_cell_length_b 8.718
_cell_length_c 10.492
_cell_angle_alpha 85.75
_cell_angle_beta 85.75
_cell_angle_gamma 61.68
_symmetry_space_group_name_H-M 'P 1'
_symmetry_Int_Tables_number 1
loop_
_symmetry_equiv_pos_as_xyz
'x,y,z'
loop_
_atom_site_label
_atom_site_type_symbol
_atom_site_fract_x
_atom_site_fract_y
_atom_site_fract_z
Co1 Co 0.785 0.493 0.231
Co2 Co 0.843 0.564 0.574
Co3 Co 0.688 0.312 0.750
Co4 Co 0.436 0.157 0.926
Co5 Co 0.215 0.507 0.769
Co6 Co 0.493 0.785 0.731
Co7 Co 0.629 0.043 0.554
Co8 Co 0.130 0.821 0.539
Co9 Co 0.312 0.688 0.250
Co10 Co 0.371 0.957 0.446
Co11 Co 0.564 0.843 0.074
Co12 Co 0.870 0.179 0.461
Co13 Co 0.043 0.629 0.054
Co14 Co 0.507 0.215 0.269
Co15 Co 0.957 0.371 0.946
Co16 Co 0.821 0.130 0.039
Co17 Co 0.179 0.870 0.961
Co18 Co 0.157 0.436 0.426
O1 O 0.443 0.416 0.664
O2 O 0.276 0.224 0.330
O3 O 0.738 0.055 0.196
O4 O 0.750 0.062 0.703
O5 O 0.061 0.391 0.110
O6 O 0.593 0.262 0.938
O7 O 0.735 0.411 0.066
O8 O 0.265 0.589 0.934
O9 O 0.094 0.066 0.561
O10 O 0.609 0.939 0.390
O11 O 0.612 0.912 0.897
O12 O 0.391 0.061 0.610
O13 O 0.934 0.906 0.939
O14 O 0.224 0.276 0.830
O15 O 0.250 0.938 0.297
O16 O 0.262 0.593 0.438
O17 O 0.776 0.724 0.170
O18 O 0.589 0.265 0.434
O19 O 0.411 0.735 0.566
O20 O 0.066 0.094 0.061
O21 O 0.055 0.738 0.696
O22 O 0.912 0.612 0.397
O23 O 0.262 0.945 0.804
O24 O 0.939 0.609 0.890
O25 O 0.062 0.750 0.203
O26 O 0.416 0.443 0.164
O27 O 0.388 0.088 0.103
O28 O 0.407 0.738 0.062
O29 O 0.557 0.584 0.336
O30 O 0.584 0.557 0.836
O31 O 0.088 0.388 0.603
O32 O 0.906 0.934 0.439
O33 O 0.724 0.776 0.670
O34 O 0.945 0.262 0.304
O35 O 0.938 0.250 0.797
O36 O 0.738 0.407 0.562
Te1 Te 0.500 0.500 0.000
Te2 Te 0.161 0.162 0.699
Te3 Te 0.500 0.500 0.500
Te4 Te 0.839 0.838 0.301
Te5 Te 0.162 0.161 0.199
Te6 Te 0.838 0.839 0.801

---

Entry Q
# Co3TeO6 PBE+U optimized geometry
# **Symmetry**: R-3 (148)
# **Calculated volume**: 11.5 A^3/atom
data_Co3TeO6
_cell_length_a 6.135
_cell_length_b 6.135
_cell_length_c 6.135
_cell_angle_alpha 90.99
_cell_angle_beta 90.99
_cell_angle_gamma 90.99
_symmetry_space_group_name_H-M 'P 1'
_symmetry_Int_Tables_number 1
loop_
_symmetry_equiv_pos_as_xyz
'x,y,z'
loop_
_atom_site_label
_atom_site_type_symbol
_atom_site_fract_x
_atom_site_fract_y
_atom_site_fract_z
Te1 Te 0.000 0.000 0.000
Te2 Te 0.500 0.500 0.500
O1 O 0.070 0.303 0.923
O2 O 0.697 0.077 0.930
O3 O 0.303 0.923 0.070
O4 O 0.930 0.697 0.077
O5 O 0.456 0.589 0.804
O6 O 0.196 0.544 0.411
O7 O 0.589 0.804 0.456
O8 O 0.077 0.930 0.697
O9 O 0.804 0.456 0.589
O10 O 0.411 0.196 0.544
O11 O 0.544 0.411 0.196
O12 O 0.923 0.070 0.303
Co1 Co 0.928 0.751 0.442
Co2 Co 0.558 0.072 0.249
Co3 Co 0.072 0.249 0.558
Co4 Co 0.249 0.558 0.072
Co5 Co 0.751 0.442 0.928
Co6 Co 0.442 0.928 0.751

---

Top of the stability list: entry P, leading by 1.8 kJ/mol of atoms.